This record from Alexandria via LeMat-Bulk describes a relaxed ScTlVF6 crystal. The functional is PBE with a Hubbard U.

Output
The value obtained for the total energy is -6.0961 eV/atom. Its density of states at the Fermi level is 0.000 states/eV/atom. The magnetic moment comes out at 3.0 μB/f.u.

Geometry as CIF:
```
data_ScTlVF6
_chemical_formula_sum 'Sc2 Tl2 V2 F12'
_cell_length_a 5.6409
_cell_length_b 5.6409
_cell_length_c 11.9598
_cell_angle_alpha 90.00
_cell_angle_beta 90.00
_cell_angle_gamma 120.00
_space_group_name_H-M_alt 'P -3 1 c'
_space_group_IT_number 163
_space_group_name_Hall '-P 3 2c'
loop_
_atom_site_label
_atom_site_type_symbol
_atom_site_fract_x
_atom_site_fract_y
_atom_site_fract_z
_atom_site_occupancy
Sc1 Sc 0.3333 0.6667 0.2500 1
Tl1 Tl 0.0000 0.0000 0.0000 1
V1 V 0.3333 0.6667 0.7500 1
F1 F 0.0112 0.3829 0.1568 1
```